1.
Material: HoZn12Ni4
Method: DFT, PBE-GGA
State: relaxed

Unit cell a=8.398 b=8.398 c=8.398 alpha=90.00 beta=90.00 gamma=90.00
Space group Im-3 (No. 204)
Inequivalent atoms, fractional coordinates:
1 Ho 0.000 0.000 0.000 x2
2 Zn 0.000 0.163 0.346 x24
3 Ni 0.250 0.250 0.250 x8

Calculated formation energy ... 0.129 eV/atom
E_tot ... -2.400 eV per atom
Spin magnetization ... 0.00 μB per formula unit
DOS(E_F) ... 20.23 states/eV/cell

=====

2.
Material: HoZn7Ni5
Method: DFT, PBE-GGA
State: relaxed

Unit cell a=5.021 b=8.520 c=8.473 alpha=90.00 beta=90.00 gamma=90.00
Space group Imm2 (No. 44)
Inequivalent atoms, fractional coordinates:
1 Ho 0.000 0.000 0.000 x2
2 Zn 0.000 0.000 0.352 x2
3 Zn 0.000 0.000 0.667 x2
4 Zn 0.000 0.287 0.519 x4
5 Zn 0.000 0.346 0.030 x4
6 Zn 0.000 0.500 0.747 x2
7 Ni 0.000 0.500 0.297 x2
8 Ni 0.248 0.249 0.772 x8

Calculated formation energy ... -0.301 eV/atom
E_tot ... -3.562 eV per atom
Spin magnetization ... 0.00 μB per formula unit
DOS(E_F) ... 11.51 states/eV/cell

=====

3.
Material: Ho2Zn3Ni2
Method: DFT, PBE-GGA
State: relaxed

Unit cell a=9.549 b=4.165 c=6.358 alpha=90.00 beta=104.22 gamma=90.00
Space group C2/m (No. 12)
Inequivalent atoms, fractional coordinates:
1 Ho 0.118 0.000 0.349 x4
2 Zn 0.000 0.500 0.000 x2
3 Zn 0.208 0.000 0.875 x4
4 Ni 0.093 0.500 0.671 x4

Calculated formation energy ... -0.391 eV/atom
E_tot ... -3.896 eV per atom
Spin magnetization ... 0.00 μB per formula unit
DOS(E_F) ... 8.61 states/eV/cell

=====

4.
Material: HoZn12Ni6
Method: DFT, PBE-GGA
State: relaxed

Unit cell a=10.9144 b=10.9144 c=8.2602 alpha=90.00 beta=90.00 gamma=120.00
Space group R-3m (No. 166, hexagonal axes)
Inequivalent atoms, fractional coordinates:
1 Ho 0.0000 0.0000 0.0000 x3
2 Zn 0.0000 0.3853 0.5000 x18
3 Zn 0.0856 0.1712 0.3119 x18
4 Ni 0.0523 0.5262 0.2472 x18

Calculated formation energy ... -0.087 eV/atom
E_tot ... -2.958 eV per atom
Spin magnetization ... 0.00 μB per formula unit
DOS(E_F) ... 35.94 states/eV/cell

=====

5.
Material: Ho3ZnNi3
Method: DFT, PBE-GGA
State: relaxed

Unit cell a=8.7283 b=8.7283 c=4.2308 alpha=90.00 beta=90.00 gamma=120.00
Space group P6_3/m (No. 176)
Inequivalent atoms, fractional coordinates:
1 Ho 0.0809 0.3956 0.2500 x6
2 Zn 0.3333 0.6667 0.7500 x2
3 Ni 0.0321 0.1759 0.7500 x6

Calculated formation energy ... -0.321 eV/atom
E_tot ... -4.943 eV per atom
Spin magnetization ... 0.00 μB per formula unit
DOS(E_F) ... 10.87 states/eV/cell

=====

6.
Material: HoZnNi
Method: DFT, PBE-GGA
State: relaxed

Unit cell a=6.769 b=3.937 c=7.958 alpha=90.00 beta=90.00 gamma=90.00
Space group Pnma (No. 62)
Inequivalent atoms, fractional coordinates:
1 Ho 0.041 0.250 0.185 x4
2 Zn 0.139 0.250 0.561 x4
3 Ni 0.244 0.750 0.376 x4

Calculated formation energy ... -0.470 eV/atom
E_tot ... -4.348 eV per atom
Spin magnetization ... 0.00 μB per formula unit
DOS(E_F) ... 8.23 states/eV/cell

=====

7.
Material: HoZn3Ni8
Method: DFT, PBE-GGA
State: relaxed

Unit cell a=4.8058 b=4.8058 c=7.8205 alpha=90.00 beta=90.00 gamma=120.00
Space group P3m1 (No. 156)
Inequivalent atoms, fractional coordinates:
1 Ho 0.0000 0.0000 0.0000 x1
2 Zn 0.0000 0.0000 0.3874 x1
3 Zn 0.6667 0.3333 0.4869 x1
4 Zn 0.6667 0.3333 0.8396 x1
5 Ni 0.1650 0.3299 0.6760 x3
6 Ni 0.3333 0.6667 0.4306 x1
7 Ni 0.3333 0.6667 0.9300 x1
8 Ni 0.5027 0.0054 0.1894 x3

Calculated formation energy ... -0.188 eV/atom
E_tot ... -4.742 eV per atom
Spin magnetization ... 0.96 μB per formula unit
DOS(E_F) ... 16.72 states/eV/cell

=====

8.
Material: Ho2Zn3Ni4
Method: DFT, PBE-GGA
State: relaxed

Unit cell a=5.271 b=15.075 c=7.047 alpha=90.00 beta=90.00 gamma=90.00
Space group Cmce (No. 64)
Inequivalent atoms, fractional coordinates:
1 Ho 0.000 0.108 0.084 x8
2 Zn 0.000 0.000 0.500 x4
3 Zn 0.250 0.233 0.750 x8
4 Ni 0.000 0.168 0.486 x8
5 Ni 0.250 0.069 0.750 x8

Calculated formation energy ... -0.390 eV/atom
E_tot ... -4.402 eV per atom
Spin magnetization ... 0.00 μB per formula unit
DOS(E_F) ... 17.17 states/eV/cell

=====

9.
Material: Ho2Zn12Ni5
Method: DFT, PBE-GGA
State: relaxed

Unit cell a=8.7928 b=8.7928 c=12.6429 alpha=90.00 beta=90.00 gamma=120.00
Space group R-3m (No. 166, hexagonal axes)
Inequivalent atoms, fractional coordinates:
1 Ho 0.0000 0.0000 0.1717 x6
2 Zn 0.0000 0.2876 0.5000 x18
3 Zn 0.0082 0.5041 0.3494 x18
4 Ni 0.0000 0.0000 0.3980 x6
5 Ni 0.0000 0.5000 0.0000 x9

Calculated formation energy ... -0.287 eV/atom
E_tot ... -3.094 eV per atom
Spin magnetization ... 0.00 μB per formula unit
DOS(E_F) ... 29.53 states/eV/cell

=====

10.
Material: HoZn8Ni2
Method: DFT, PBE-GGA
State: relaxed

Unit cell a=6.238 b=6.238 c=5.128 alpha=90.00 beta=90.00 gamma=90.00
Space group P4/mmm (No. 123)
Inequivalent atoms, fractional coordinates:
1 Ho 0.000 0.000 0.000 x1
2 Zn 0.289 0.289 0.256 x8
3 Ni 0.000 0.500 0.500 x2

Calculated formation energy ... 0.112 eV/atom
E_tot ... -2.281 eV per atom
Spin magnetization ... 0.00 μB per formula unit
DOS(E_F) ... 5.50 states/eV/cell

=====

11.
Material: HoZn6Ni2
Method: DFT, PBE-GGA
State: relaxed

Unit cell a=5.4725 b=5.4725 c=6.4048 alpha=90.00 beta=90.00 gamma=120.00
Space group P6/mmm (No. 191)
Inequivalent atoms, fractional coordinates:
1 Ho 0.0000 0.0000 0.0000 x1
2 Zn 0.0000 0.5000 0.2103 x6
3 Ni 0.3333 0.6667 0.5000 x2

Calculated formation energy ... 0.094 eV/atom
E_tot ... -2.549 eV per atom
Spin magnetization ... 0.00 μB per formula unit
DOS(E_F) ... 4.97 states/eV/cell

=====

12.
Material: HoZrZnNi
Method: DFT, PBE-GGA
State: relaxed

Unit cell a=6.735 b=6.735 c=6.735 alpha=90.00 beta=90.00 gamma=90.00
Space group F-43m (No. 216)
Inequivalent atoms, fractional coordinates:
1 Ho 0.000 0.000 0.000 x4
2 Zr 0.000 0.000 0.500 x4
3 Zn 0.250 0.250 0.750 x4
4 Ni 0.250 0.250 0.250 x4

Calculated formation energy ... -0.245 eV/atom
E_tot ... -5.290 eV per atom
Spin magnetization ... 0.00 μB per formula unit
DOS(E_F) ... 17.44 states/eV/cell